The following is a PBE calculation of Zr2TlF after structural relaxation, from Alexandria.

Summary:
- volume (Å³/atom) = 23.8
- space group = I-42d (122)
- E_form (uncorrected) (eV/atom) = -0.400

Lattice parameters (Å, degrees): 5.1915 5.1915 7.9667 70.98 70.98 90.00
Atoms (fractional coordinates):
1 Zr 0.3750 0.5325 0.7500
2 Zr 0.4675 0.1250 0.2500
3 F 0.5000 0.5000 0.0000
4 F 0.2500 0.7500 0.5000
5 Zr 0.2825 0.6250 0.2500
6 Tl 0.0000 0.0000 0.0000
7 Zr 0.8750 0.7175 0.7500
8 Tl 0.7500 0.2500 0.5000